(1)
# SrGaWI2

An optimized crystal structure of SrGaWI2 (PBE-GGA, Alexandria).

Properties
symmetry	P4/mmm
formation energy from raw total energies	1.085	eV/atom
electronic total energy	-3.067	eV per atom

```
5
Lattice="6.093 0.000 0.000 0.000 6.093 0.000 0.000 0.000 6.438" Properties=species:S:1:pos:R:3 pbc="T T T"
Sr 0.000 0.000 0.000
Ga 0.000 0.000 3.219
W 3.046 3.046 3.219
I 0.000 3.046 0.000
I 3.046 0.000 0.000
```

=====

(2)
# CsSmP2S8

An optimized crystal structure of CsSmP2S8 (PBE-GGA, Alexandria).

Properties
symmetry	P-3
formation energy from raw total energies	-0.600	eV/atom
electronic total energy	-4.718	eV per atom

```
12
Lattice="6.273 0.000 0.000 -3.136 5.432 0.000 0.000 0.000 9.962" Properties=species:S:1:pos:R:3 pbc="T T T"
Cs 0.000 0.000 0.000
Sm 0.000 0.000 4.981
P 0.000 3.622 7.193
P 3.136 1.811 2.769
S -1.151 2.024 6.616
S 0.000 3.622 9.220
S -0.808 5.417 6.616
S 1.177 2.009 3.346
S 1.959 3.423 6.616
S 3.944 0.015 3.346
S 3.136 1.811 0.742
S 4.288 3.408 3.346
```

=====

(3)
# HfZnRuAu

An optimized crystal structure of HfZnRuAu (PBE-GGA, Alexandria).

Properties
symmetry	F-43m
ΔE_f	-326.0	meV per atom
electronic total energy	-6.271	eV per atom

```
4
Lattice="0.000 3.217 3.217 3.217 0.000 3.217 3.217 3.217 0.000" Properties=species:S:1:pos:R:3 pbc="T T T"
Hf 0.000 0.000 0.000
Zn 3.217 3.217 3.217
Ru 1.609 1.609 1.609
Au 4.826 4.826 4.826
```

=====

(4)
# LiTb7Tl4

An optimized crystal structure of LiTb7Tl4 (PBE-GGA, Alexandria).

Properties
symmetry	C2/m
ΔE_f	-20.5	meV per atom
electronic total energy	-3.670	eV per atom

```
12
Lattice="7.312 -2.786 0.000 7.312 2.786 0.000 -6.762 0.000 8.941" Properties=species:S:1:pos:R:3 pbc="T T T"
Li 0.000 0.000 0.000
Tb -1.235 0.000 2.943
Tb -2.678 0.000 7.792
Tb 2.212 0.000 3.616
Tb 7.312 0.000 0.000
Tb 5.650 0.000 5.324
Tb 10.541 0.000 1.149
Tb 9.097 0.000 5.998
Tl -0.135 0.000 5.923
Tl 4.805 0.000 1.973
Tl 3.058 0.000 6.967
Tl 7.998 0.000 3.018
```